First-principles (GGA-PBE) data for a relaxed structure of LiCd6Ag3, as listed in Alexandria via LeMat-Bulk.

The space group is P2_1/m (No. 11) and the conventional cell measures 8.186, 4.882 and 10.464 Å, with angles of 90.00, 109.26 and 90.00 degrees. The inequivalent atoms are Li at (0.106, 0.250, 0.067), Cd at (0.087, 0.750, 0.222), Cd at (0.101, 0.250, 0.571), Cd at (0.283, 0.750, 0.028), Cd at (0.294, 0.250, 0.364), Cd at (0.491, 0.750, 0.836), Cd at (0.499, 0.250, 0.665), Ag at (0.096, 0.750, 0.736), Ag at (0.297, 0.250, 0.870) and Ag at (0.297, 0.750, 0.536).

For the total energy, the calculation gives -16.87 eV/f.u. The calculation puts the theoretical density at 8.5 g/cm³. The relative energy among the computed polymorphs is 0.0000 eV per atom.



First-principles (GGA-PBE) data for a relaxed structure of Sc4GaS2, as listed in Alexandria via LeMat-Bulk.

The space group is Cmcm (No. 63) and the conventional cell measures 3.641, 12.173 and 12.450 Å, with angles of 90.00, 90.00 and 90.00 degrees. The inequivalent atoms are Sc at (0.000, 0.000, 0.000), Sc at (0.000, 0.270, 0.121), Sc at (0.000, 0.434, 0.750), Ga at (0.000, 0.106, 0.750) and S at (0.000, 0.364, 0.559).

For the total energy, the calculation gives -45.71 eV/f.u. The calculation puts the theoretical density at 3.8 g/cm³. Its uncorrected formation energy is -1300 meV per atom.



First-principles (GGA-PBE) data for a relaxed structure of Tl2CrTc, as listed in Alexandria via LeMat-Bulk.

The space group is C2/m (No. 12) and the conventional cell measures 9.304, 3.224 and 5.352 Å, with angles of 90.00, 102.57 and 90.00 degrees. The inequivalent atoms are Tl at (0.248, 0.000, 0.246), Cr at (0.000, 0.000, 0.500) and Tc at (0.000, 0.500, 0.000).

For the total energy, the calculation gives -21.69 eV/f.u. The calculation puts the theoretical density at 11.8 g/cm³. The relative energy among the computed polymorphs is 0.3402 eV per atom.



First-principles (GGA-PBE) data for a relaxed structure of SrTb2Rh9, as listed in Alexandria via LeMat-Bulk.

The space group is R-3m (No. 166, hexagonal axes) and the conventional cell measures 5.3251, 5.3251 and 26.2287 Å, with angles of 90.00, 90.00 and 120.00 degrees. The inequivalent atoms are Sr at (0.0000, 0.0000, 0.0000), Tb at (0.0000, 0.0000, 0.1387), Rh at (0.0000, 0.0000, 0.3328), Rh at (0.0000, 0.0000, 0.5000) and Rh at (0.9996, 0.4998, 0.0833).

For the total energy, the calculation gives -82.42 eV/f.u. The calculation puts the theoretical density at 10.3 g/cm³.



First-principles (GGA-PBE) data for a relaxed structure of Ho4TlSe2, as listed in Alexandria via LeMat-Bulk.

The space group is R-3m (No. 166, hexagonal axes) and the conventional cell measures 3.8763, 3.8763 and 43.5332 Å, with angles of 90.00, 90.00 and 120.00 degrees. The inequivalent atoms are Ho at (0.0000, 0.0000, 0.1347), Ho at (0.0000, 0.0000, 0.2810), Tl at (0.0000, 0.0000, 0.0000) and Se at (0.0000, 0.0000, 0.4257).

For the total energy, the calculation gives -35.07 eV/f.u. The calculation puts the theoretical density at 9.0 g/cm³. The relative energy among the computed polymorphs is 0.0451 eV per atom. Its uncorrected formation energy is -1060 meV per atom.



First-principles (GGA-PBE) data for a relaxed structure of CaErTm, as listed in Alexandria via LeMat-Bulk.

The space group is P2_1/m (No. 11) and the conventional cell measures 3.608, 5.704 and 9.926 Å, with angles of 90.00, 100.46 and 90.00 degrees. The inequivalent atoms are Ca at (0.217, 0.250, 0.432), Er at (0.450, 0.750, 0.901) and Tm at (0.102, 0.750, 0.204).

For the total energy, the calculation gives -10.80 eV/f.u. The calculation puts the theoretical density at 6.2 g/cm³. The relative energy among the computed polymorphs is 0.0000 eV per atom.